[1]
VASP calculation (PBE-GGA) on SmErCdTc after structural relaxation.

## Properties
Space-group type: F-43m, No. 216
Energy of formation (eV/atom): -0.0652

Unit cell a=5.069 b=5.069 c=5.069 alpha=60.00 beta=60.00 gamma=60.00
Element x y z (fractional)
Sm: 0.000 0.000 0.000
Er: 0.500 0.500 0.500
Cd: 0.750 0.750 0.750
Tc: 0.250 0.250 0.250

***

[2]
VASP calculation (PBE-GGA) on SmErThCd after structural relaxation.

## Properties
Space-group type: P4mm, No. 99
Energy of formation (eV/atom): -0.1611
Energy relative to the lowest polymorph listed for this composition (eV/atom): 0.000

Unit cell a=3.621 b=3.621 c=8.889 alpha=90.00 beta=90.00 gamma=90.00
Element x y z (fractional)
Sm: 0.000 0.000 0.000
Er: 0.000 0.000 0.462
Th: 0.500 0.500 0.727
Cd: 0.500 0.500 0.241

***

[3]
VASP calculation (PBE-GGA) on SmErThCd after structural relaxation.

## Properties
Space-group type: F-43m, No. 216
Energy of formation (eV/atom): 0.0357
Energy relative to the lowest polymorph listed for this composition (eV/atom): 0.197

Unit cell a=5.505 b=5.505 c=5.505 alpha=60.00 beta=60.00 gamma=60.00
Element x y z (fractional)
Sm: 0.000 0.000 0.000
Er: 0.750 0.750 0.750
Th: 0.500 0.500 0.500
Cd: 0.250 0.250 0.250

***

[4]
VASP calculation (PBE-GGA) on SmErTmCd after structural relaxation.

## Properties
Space-group type: F-43m, No. 216
Energy of formation (eV/atom): -0.0294
Energy relative to the lowest polymorph listed for this composition (eV/atom): 0.119

Unit cell a=5.439 b=5.439 c=5.439 alpha=60.00 beta=60.00 gamma=60.00
Element x y z (fractional)
Sm: 0.000 0.000 0.000
Er: 0.500 0.500 0.500
Tm: 0.750 0.750 0.750
Cd: 0.250 0.250 0.250

***

Which of these has the lowest energy of formation? number 2